VASP calculation (PBEsol) on a relaxed KBa3Au crystal.

The value obtained for the final energy is -0.094 Ha/atom. The formation energy comes out at -0.25 eV/atom. Its volume is 53.94 Å³/atom.

The space group is Pm-3m (No. 221) and the conventional cell measures 6.4610, 6.4610 and 6.4610 Å, with angles of 90.00, 90.00 and 90.00 degrees. The distinct sites, in fractional coordinates, are K at (0.0000, 0.0000, 0.0000), Ba at (0.0000, 0.5000, 0.5000) and Au at (0.5000, 0.5000, 0.5000).



VASP calculation (PBEsol) on a relaxed Zn2NiMo crystal.

The value obtained for the final energy is -0.191 Ha/atom. Its offset from the most stable computed form is 129 meV per atom. The formation energy comes out at 0.09 eV/atom. Its volume is 13.22 Å³/atom.

The space group is R-3m (No. 166, hexagonal axes) and the conventional cell measures 2.6715, 2.6715 and 25.6753 Å, with angles of 90.00, 90.00 and 120.00 degrees. The distinct sites, in fractional coordinates, are Zn at (0.0000, 0.0000, 0.2430), Ni at (0.0000, 0.0000, 0.5000) and Mo at (0.0000, 0.0000, 0.0000).



VASP calculation (PBEsol) on a relaxed TbMgGa crystal.

The value obtained for the final energy is -0.142 Ha/atom. The formation energy comes out at -0.51 eV/atom. Its volume is 21.97 Å³/atom.

The space group is P-62m (No. 189) and the conventional cell measures 7.2100, 7.2100 and 4.3921 Å, with angles of 90.00, 90.00 and 120.00 degrees. The distinct sites, in fractional coordinates, are Tb at (0.0000, 0.5740, 0.0000), Mg at (0.0000, 0.2439, 0.5000), Ga at (0.0000, 0.0000, 0.0000) and Ga at (0.3333, 0.6667, 0.5000).



VASP calculation (PBEsol) on a relaxed HgNF2 crystal.

The value obtained for the formation energy (no corrections) is 0.617 eV/atom. The value obtained for the final energy is -0.096 Ha/atom. Its volume is 16.71 Å³/atom.

The space group is I4_1/amd (No. 141, origin choice 2) and the conventional cell measures 5.7260, 5.7260 and 8.1556 Å, with angles of 90.00, 90.00 and 90.00 degrees. The distinct sites, in fractional coordinates, are Hg at (0.0000, 0.2500, 0.3750), N at (0.0000, 0.2500, 0.8750) and F at (0.0000, 0.0000, 0.0000).



VASP calculation (PBEsol) on a relaxed KCaBe2W crystal.

The value obtained for the final energy is -0.089 Ha/atom. The formation energy comes out at 2.59 eV/atom. Its volume is 21.99 Å³/atom.

The space group is P4/mmm (No. 123) and the conventional cell measures 4.7591, 4.7591 and 4.8552 Å, with angles of 90.00, 90.00 and 90.00 degrees. The distinct sites, in fractional coordinates, are K at (0.0000, 0.0000, 0.0000), Ca at (0.0000, 0.0000, 0.5000), Be at (0.0000, 0.5000, 0.5000) and W at (0.5000, 0.5000, 0.0000).



VASP calculation (PBEsol) on a relaxed Ag3BiO crystal.

The value obtained for the formation energy (no corrections) is 0.115 eV/atom. The value obtained for the final energy is -0.139 Ha/atom. Its volume is 18.14 Å³/atom.

The space group is Pm-3m (No. 221) and the conventional cell measures 4.4930, 4.4930 and 4.4930 Å, with angles of 90.00, 90.00 and 90.00 degrees. The distinct sites, in fractional coordinates, are Ag at (0.0000, 0.0000, 0.5000), Bi at (0.5000, 0.5000, 0.5000) and O at (0.0000, 0.0000, 0.0000).



VASP calculation (PBEsol) on a relaxed CuNi crystal.

The value obtained for the final energy is -0.191 Ha/atom. The formation energy comes out at 0.03 eV/atom. Its volume is 10.74 Å³/atom.

The space group is I4_1/amd (No. 141, origin choice 2) and the conventional cell measures 3.5149, 3.5149 and 6.9529 Å, with angles of 90.00, 90.00 and 90.00 degrees. The distinct sites, in fractional coordinates, are Cu at (0.0000, 0.2500, 0.3750) and Ni at (0.0000, 0.2500, 0.8750).



VASP calculation (PBEsol) on a relaxed CaBeAs2Se crystal.

The value obtained for the formation energy (no corrections) is -0.252 eV/atom. The value obtained for the final energy is -0.158 Ha/atom. Its volume is 20.35 Å³/atom.

The space group is P4/mmm (No. 123) and the conventional cell measures 4.3622, 4.3622 and 5.3459 Å, with angles of 90.00, 90.00 and 90.00 degrees. The distinct sites, in fractional coordinates, are Ca at (0.0000, 0.0000, 0.0000), Be at (0.5000, 0.5000, 0.5000), As at (0.0000, 0.5000, 0.5000) and Se at (0.5000, 0.5000, 0.0000).



VASP calculation (PBEsol) on a relaxed Cs2AlInH6 crystal.

The value obtained for the final energy is -0.110 Ha/atom. Its volume is 15.70 Å³/atom.

The space group is Fm-3m (No. 225) and the conventional cell measures 8.5633, 8.5633 and 8.5633 Å, with angles of 90.00, 90.00 and 90.00 degrees. The distinct sites, in fractional coordinates, are Cs at (0.2500, 0.2500, 0.2500), Al at (0.0000, 0.0000, 0.0000), In at (0.0000, 0.0000, 0.5000) and H at (0.0000, 0.0000, 0.2092).



VASP calculation (PBEsol) on a relaxed CoTc2PtRh crystal.

The value obtained for the final energy is -0.256 Ha/atom. The formation energy comes out at 2.12 eV/atom. Its volume is 19.24 Å³/atom.

The space group is P4/mmm (No. 123) and the conventional cell measures 4.4803, 4.4803 and 4.7935 Å, with angles of 90.00, 90.00 and 90.00 degrees. The distinct sites, in fractional coordinates, are Co at (0.0000, 0.0000, 0.0000), Tc at (0.0000, 0.5000, 0.5000), Pt at (0.5000, 0.5000, 0.0000) and Rh at (0.5000, 0.5000, 0.5000).



VASP calculation (PBEsol) on a relaxed FePb crystal.

The value obtained for the final energy is -0.226 Ha/atom. The formation energy comes out at 0.34 eV/atom. Its volume is 19.70 Å³/atom.

The space group is P4/nmm (No. 129, origin choice 2) and the conventional cell measures 3.1413, 3.1413 and 7.9843 Å, with angles of 90.00, 90.00 and 90.00 degrees. The distinct sites, in fractional coordinates, are Fe at (0.2500, 0.2500, 0.0637) and Pb at (0.2500, 0.2500, 0.6981).



VASP calculation (PBEsol) on a relaxed La2InCl crystal.

The value obtained for the formation energy (no corrections) is -1.012 eV/atom. The value obtained for the final energy is -0.181 Ha/atom. Its offset from the most stable computed form is 0 meV per atom. Its volume is 29.62 Å³/atom.

The space group is P2/m (No. 10) and the conventional cell measures 3.7518, 3.7318 and 8.4615 Å, with angles of 90.00, 90.08 and 90.00 degrees. The distinct sites, in fractional coordinates, are La at (0.0009, 0.0000, 0.2368), In at (0.5000, 0.5000, 0.0000) and Cl at (0.0000, 0.5000, 0.5000).



Number 1: total moment 0.00 μB/atom. Number 2: total moment 0.00 μB/atom. Number 3: total moment 0.00 μB/atom. Number 4: total moment 0.24 μB/atom. Number 5: total moment 0.46 μB/atom. Number 6: total moment 0.00 μB/atom. Number 7: total moment 0.10 μB/atom. Number 8: total moment 0.00 μB/atom. Number 9: total moment 0.00 μB/atom. Number 10: total moment 0.84 μB/atom. Number 11: total moment 1.17 μB/atom. Number 12: total moment 0.00 μB/atom.